VASP calculation (PBE) on a relaxed structure of Ti2Si2Br.

Summary:
As for the crystal system: tetragonal. For the total energy, the calculation gives -6.0179 eV/atom. For the total magnetization, the calculation gives 0.000 μB/f.u.

a b c (Å): 7.190 7.190 3.304
angles (deg): 90.00 90.00 90.00
Space group P4/mbm (No. 127)
Inequivalent atoms, fractional coordinates:
Ti1 0.173 0.327 0.000
Si1 0.117 0.617 0.500
Br1 0.000 0.000 0.000


VASP calculation (PBE) on a relaxed structure of Ti2SiBr2.

Summary:
As for the crystal system: tetragonal. For the total energy, the calculation gives -4.7951 eV/atom. For the total magnetization, the calculation gives 0.000 μB/f.u.

a b c (Å): 4.165 4.165 11.965
angles (deg): 90.00 90.00 90.00
Space group I4/mmm (No. 139)
Inequivalent atoms, fractional coordinates:
Ti1 0.000 0.000 0.109
Si1 0.000 0.000 0.500
Br1 0.000 0.500 0.250


VASP calculation (PBE) on a relaxed structure of TiSi2Br2.

Summary:
As for the crystal system: tetragonal. For the total energy, the calculation gives -4.1632 eV/atom. For the total magnetization, the calculation gives 0.752 μB/f.u.

a b c (Å): 6.764 6.764 5.083
angles (deg): 90.00 90.00 90.00
Space group P4/mbm (No. 127)
Inequivalent atoms, fractional coordinates:
Ti1 0.000 0.000 0.000
Si1 0.127 0.373 0.000
Br1 0.192 0.308 0.500


VASP calculation (PBE) on a relaxed structure of Ti3SiBr.

Summary:
As for the crystal system: cubic. For the total energy, the calculation gives -5.7233 eV/atom. For the total magnetization, the calculation gives 4.536 μB/f.u.

a b c (Å): 4.801 4.801 4.801
angles (deg): 90.00 90.00 90.00
Space group Pm-3m (No. 221)
Inequivalent atoms, fractional coordinates:
Ti1 0.000 0.000 0.500
Si1 0.000 0.000 0.000
Br1 0.500 0.500 0.500


Record order is preserved below.
ΔE_f (raw): -0.36 0.12 0.25 0.43 eV/atom